# 1
# AcSiCl | the Alexandria database | PBE-GGA | relaxed
# Formation energy from raw total energies ... -4.22 eV/f.u.
# VASP energy ... -5.200 eV/atom
# Magnetization ... 0.0 μB/cell
# E above lowest polymorph ... 0 meV per atom
data_AcSiCl
_space_group_name_H-M_alt 'R -3 m'
_space_group_IT_number 166
_space_group_name_Hall '-R 3 2"'
_cell_length_a 4.2871
_cell_length_b 4.2871
_cell_length_c 33.9478
_cell_angle_alpha 90.00
_cell_angle_beta 90.00
_cell_angle_gamma 120.00
loop_
_atom_site_label
_atom_site_fract_x
_atom_site_fract_y
_atom_site_fract_z
Ac1 0.0000 0.0000 0.0634
Si1 0.0000 0.0000 0.3355
Cl1 0.0000 0.0000 0.2174

# 2
# SrTlAs4 | the Alexandria database | PBE-GGA | relaxed
# VASP energy ... -3.984 eV/atom
# Magnetization ... 0.0 μB/cell
# Energy of formation ... -0.209 eV/atom
data_SrTlAs4
_space_group_name_H-M_alt 'F -4 3 m'
_space_group_IT_number 216
_space_group_name_Hall 'F -4 2 3'
_cell_length_a 8.323
_cell_length_b 8.323
_cell_length_c 8.323
_cell_angle_alpha 90.00
_cell_angle_beta 90.00
_cell_angle_gamma 90.00
loop_
_atom_site_label
_atom_site_fract_x
_atom_site_fract_y
_atom_site_fract_z
Sr1 0.000 0.000 0.000
Tl1 0.250 0.250 0.750
As1 0.121 0.121 0.379

# 3
# TlCo2Pt | the Alexandria database | PBE-GGA | relaxed
# VASP energy ... -5.349 eV/atom
# Magnetization ... 3.5 μB/cell
# Energy of formation ... 0.306 eV/atom
# E above lowest polymorph ... 49 meV per atom
data_TlCo2Pt
_space_group_name_H-M_alt 'P 1 m 1'
_space_group_IT_number 6
_cell_length_a 2.877
_cell_length_b 4.140
_cell_length_c 5.311
_cell_angle_alpha 90.00
_cell_angle_beta 105.35
_cell_angle_gamma 90.00
loop_
_space_group_symop_operation_xyz
'x,y,z'
'x,-y,z'
loop_
_atom_site_label
_atom_site_fract_x
_atom_site_fract_y
_atom_site_fract_z
Tl1 0.000 0.000 0.000
Co1 0.619 0.500 0.241
Co2 0.734 0.000 0.471
Pt1 0.334 0.500 0.675

# 4
# VAsSe2N | the Alexandria database | PBE-GGA | relaxed
# Formation energy from raw total energies ... 4.52 eV/f.u.
# VASP energy ... -4.908 eV/atom
# Magnetization ... 0.0 μB/cell
# E above lowest polymorph ... 730 meV per atom
data_VAsSe2N
_space_group_name_H-M_alt 'P 4/m m m'
_space_group_IT_number 123
_space_group_name_Hall '-P 4 2'
_cell_length_a 4.365
_cell_length_b 4.365
_cell_length_c 4.204
_cell_angle_alpha 90.00
_cell_angle_beta 90.00
_cell_angle_gamma 90.00
loop_
_atom_site_label
_atom_site_fract_x
_atom_site_fract_y
_atom_site_fract_z
V1 0.000 0.000 0.000
As1 0.500 0.500 0.000
Se1 0.000 0.500 0.500
N1 0.500 0.500 0.500